Entry 1:
# GeS3Br (meta-GGA SCAN, PBEsol geometry)
data_GeS3Br
_symmetry_space_group_name_H-M 'P m -3 m'
_symmetry_Int_Tables_number 221
_symmetry_space_group_name_Hall '-P 4 2 3'
_cell_length_a 4.7856
_cell_length_b 4.7856
_cell_length_c 4.7856
_cell_angle_alpha 90.00
_cell_angle_beta 90.00
_cell_angle_gamma 90.00
loop_
_atom_site_label
_atom_site_type_symbol
_atom_site_fract_x
_atom_site_fract_y
_atom_site_fract_z
Ge1 Ge 0.0000 0.0000 0.0000
S1 S 0.0000 0.5000 0.5000
Br1 Br 0.5000 0.5000 0.5000
# - raw total energy (eV/atom) = -12.43
# - ΔE_f (raw) (eV/atom) = 1.06
# - crystal system = cubic


Entry 2:
# Ta2AlPb (meta-GGA SCAN, PBEsol geometry)
data_Ta2AlPb
_symmetry_space_group_name_H-M 'C m m m'
_symmetry_Int_Tables_number 65
_symmetry_space_group_name_Hall '-C 2 2'
_cell_length_a 5.8013
_cell_length_b 8.6937
_cell_length_c 2.9431
_cell_angle_alpha 90.00
_cell_angle_beta 90.00
_cell_angle_gamma 90.00
loop_
_atom_site_label
_atom_site_type_symbol
_atom_site_fract_x
_atom_site_fract_y
_atom_site_fract_z
Ta1 Ta 0.2500 0.2500 0.0000
Al1 Al 0.0000 0.0000 0.5000
Pb1 Pb 0.0000 0.5000 0.5000
# - formation enthalpy at 0 K (meV/atom) = 337
# - raw total energy (eV/atom) = -53.84
# - crystal system = orthorhombic


Entry 3:
# BePtAu3 (meta-GGA SCAN, PBEsol geometry)
data_BePtAu3
_symmetry_space_group_name_H-M 'P m -3 m'
_symmetry_Int_Tables_number 221
_symmetry_space_group_name_Hall '-P 4 2 3'
_cell_length_a 4.2919
_cell_length_b 4.2919
_cell_length_c 4.2919
_cell_angle_alpha 90.00
_cell_angle_beta 90.00
_cell_angle_gamma 90.00
loop_
_atom_site_label
_atom_site_type_symbol
_atom_site_fract_x
_atom_site_fract_y
_atom_site_fract_z
Be1 Be 0.0000 0.0000 0.0000
Pt1 Pt 0.5000 0.5000 0.5000
Au1 Au 0.0000 0.0000 0.5000
# - formation enthalpy at 0 K (meV/atom) = 327
# - raw total energy (eV/atom) = -56.08
# - crystal system = cubic


Entry 4:
# TaRe2Se (meta-GGA SCAN, PBEsol geometry)
data_TaRe2Se
_symmetry_space_group_name_H-M 'C m m 2'
_symmetry_Int_Tables_number 35
_cell_length_a 3.0723
_cell_length_b 4.6474
_cell_length_c 9.0299
_cell_angle_alpha 90.00
_cell_angle_beta 90.00
_cell_angle_gamma 90.00
loop_
_symmetry_equiv_pos_as_xyz
'x,y,z'
'-x,-y,z'
'-x,y,z'
'x,-y,z'
'x+1/2,y+1/2,z'
'-x+1/2,-y+1/2,z'
'-x+1/2,y+1/2,z'
'x+1/2,-y+1/2,z'
loop_
_atom_site_label
_atom_site_type_symbol
_atom_site_fract_x
_atom_site_fract_y
_atom_site_fract_z
Ta1 Ta 0.0000 0.0000 0.0000
Re1 Re 0.0000 0.0000 0.4796
Re2 Re 0.0000 0.5000 0.2497
Se1 Se 0.0000 0.5000 0.7575
# - raw total energy (eV/atom) = -56.76
# - ΔE_f (raw) (eV/atom) = 0.45
# - crystal system = orthorhombic


Entry 5:
# TaIr2W (meta-GGA SCAN, PBEsol geometry)
data_TaIr2W
_symmetry_space_group_name_H-M 'P m m 2'
_symmetry_Int_Tables_number 25
_cell_length_a 2.7842
_cell_length_b 4.5179
_cell_length_c 4.8230
_cell_angle_alpha 90.00
_cell_angle_beta 90.00
_cell_angle_gamma 90.00
loop_
_symmetry_equiv_pos_as_xyz
'x,y,z'
'-x,-y,z'
'-x,y,z'
'x,-y,z'
loop_
_atom_site_label
_atom_site_type_symbol
_atom_site_fract_x
_atom_site_fract_y
_atom_site_fract_z
Ta1 Ta 0.0000 0.0000 0.0000
Ir1 Ir 0.5000 0.0000 0.4997
Ir2 Ir 0.5000 0.5000 0.8637
W1 W 0.0000 0.5000 0.3646
# - formation enthalpy at 0 K (meV/atom) = -498
# - raw total energy (eV/atom) = -70.12
# - crystal system = orthorhombic


Entry 6:
# TiW (meta-GGA SCAN, PBEsol geometry)
data_TiW
_symmetry_space_group_name_H-M 'C m m m'
_symmetry_Int_Tables_number 65
_symmetry_space_group_name_Hall '-C 2 2'
_cell_length_a 3.1356
_cell_length_b 4.5025
_cell_length_c 4.4236
_cell_angle_alpha 90.00
_cell_angle_beta 90.00
_cell_angle_gamma 90.00
loop_
_atom_site_label
_atom_site_type_symbol
_atom_site_fract_x
_atom_site_fract_y
_atom_site_fract_z
Ti1 Ti 0.0000 0.0000 0.0000
W1 W 0.0000 0.5000 0.5000
# - formation enthalpy at 0 K (meV/atom) = -13
# - raw total energy (eV/atom) = -42.87
# - crystal system = orthorhombic


Mass density values, unit g cm⁻³, following the record order: 3.77, 13.34, 16.70, 16.29, 20.51, 12.32.